# 1
First-principles (PBE) data for a relaxed NaGa3Pb3 crystal, as listed in the Alexandria database.

Cell: 7.909 7.909 7.909 Å, 90.00 90.00 90.00°
Element x y z (fractional)
Ga 0.500 0.750 0.000
Pb 0.000 0.750 0.500
Ga 0.500 0.250 0.000
Pb 0.750 0.500 0.000
Pb 0.000 0.250 0.500
Pb 0.500 0.000 0.750
Ga 0.000 0.500 0.250
Na 0.500 0.500 0.500
Ga 0.000 0.500 0.750
Ga 0.250 0.000 0.500
Na 0.000 0.000 0.000
Pb 0.250 0.500 0.000
Ga 0.750 0.000 0.500
Pb 0.500 0.000 0.250

Computed properties:
Energy of formation   218 meV per atom
Space group   Pm-3n (223)

# 2
First-principles (PBE) data for a relaxed HgHRh2 crystal, as listed in the Alexandria database.

Cell: 3.009 3.009 11.652 Å, 90.00 90.00 90.00°
Last column: magnetic moment on the atom in μB.
Element x y z (fractional)
Rh 0.500 0.500 0.167  0.50
Rh 0.000 0.000 0.667  0.50
H 0.000 0.500 0.750  -0.01
H 0.500 0.000 0.250  -0.01
Hg 0.500 0.500 0.500  -0.01
Rh 0.500 0.500 0.833  0.50
Rh 0.000 0.000 0.333  0.50
Hg 0.000 0.000 0.000  -0.01

Computed properties:
ΔE to the lowest computed polymorph   0.005 eV per atom
Space group   I-4m2 (119)

# 3
First-principles (PBE) data for a relaxed PmTlInBi crystal, as listed in the Alexandria database.

Cell: 5.559 5.559 5.559 Å, 60.00 60.00 60.00°
Element x y z (fractional)
Tl 0.000 0.000 0.000
In 0.750 0.750 0.750
Bi 0.250 0.250 0.250
Pm 0.500 0.500 0.500

Computed properties:
Energy of formation   -200 meV per atom
Space group   F-43m (216)

Uncorrected energy, respectively: -39.99; -35.64; -14.54 eV for the cell shown.